(1)
This record from Alexandria describes NaMg14Sb after structural relaxation. The functional is PBE-GGA.

Structure (CIF):
```
data_NaMg14Sb
_space_group_name_H-M_alt 'P -6 m 2'
_space_group_IT_number 187
_space_group_name_Hall 'P -6 2'
_cell_length_a 6.4655
_cell_length_b 6.4655
_cell_length_c 10.3977
_cell_angle_alpha 90.00
_cell_angle_beta 90.00
_cell_angle_gamma 120.00
loop_
_atom_site_label
_atom_site_type_symbol
_atom_site_fract_x
_atom_site_fract_y
_atom_site_fract_z
_atom_site_occupancy
Na1 Na 0.0000 0.0000 0.0000 1
Mg1 Mg 0.0038 0.5019 0.0000 1
Mg2 Mg 0.1693 0.3385 0.2550 1
Mg3 Mg 0.5029 0.0059 0.5000 1
Mg4 Mg 0.6667 0.3333 0.2475 1
Sb1 Sb 0.0000 0.0000 0.5000 1
```

Summary:
Formation energy without anion corrections   -0.01 eV/atom
Offset from the most stable computed form   0.011 eV per atom
Total moment   0.000 μB per atom
N(E_F)   8.290 states/eV per cell

(2)
This record from Alexandria describes Cs2TcTeAs after structural relaxation. The functional is PBE-GGA.

Structure (CIF):
```
data_Cs2TcTeAs
_space_group_name_H-M_alt 'P 4/m m m'
_space_group_IT_number 123
_space_group_name_Hall '-P 4 2'
_cell_length_a 7.140
_cell_length_b 7.140
_cell_length_c 5.248
_cell_angle_alpha 90.00
_cell_angle_beta 90.00
_cell_angle_gamma 90.00
loop_
_atom_site_label
_atom_site_type_symbol
_atom_site_fract_x
_atom_site_fract_y
_atom_site_fract_z
_atom_site_occupancy
Cs1 Cs 0.000 0.500 0.000 1
Tc1 Tc 0.000 0.000 0.500 1
Te1 Te 0.500 0.500 0.500 1
As1 As 0.500 0.500 0.000 1
```

Summary:
Formation energy without anion corrections   0.90 eV/atom
Total moment   0.876 μB per atom
N(E_F)   5.661 states/eV per cell

(3)
This record from Alexandria describes KScAs after structural relaxation. The functional is PBE-GGA.

Structure (CIF):
```
data_KScAs
_space_group_name_H-M_alt 'P 3 m 1'
_space_group_IT_number 156
_cell_length_a 4.5611
_cell_length_b 4.5611
_cell_length_c 5.6497
_cell_angle_alpha 90.00
_cell_angle_beta 90.00
_cell_angle_gamma 120.00
loop_
_space_group_symop_operation_xyz
'x,y,z'
'-y,x-y,z'
'-x+y,-x,z'
'-y,-x,z'
'-x+y,y,z'
'x,x-y,z'
loop_
_atom_site_label
_atom_site_type_symbol
_atom_site_fract_x
_atom_site_fract_y
_atom_site_fract_z
_atom_site_occupancy
K1 K 0.0000 0.0000 0.0000 1
Sc1 Sc 0.6667 0.3333 0.5002 1
As1 As 0.3333 0.6667 0.5022 1
```

Summary:
Total moment   0.291 μB per atom
Energy of formation from the pure elements   -0.4888 eV per atom
N(E_F)   1.710 states/eV per cell

(4)
This record from Alexandria describes ZnInF2 after structural relaxation. The functional is PBE-GGA.

Structure (CIF):
```
data_ZnInF2
_space_group_name_H-M_alt 'R -3 m'
_space_group_IT_number 166
_space_group_name_Hall '-R 3 2"'
_cell_length_a 3.1587
_cell_length_b 3.1587
_cell_length_c 22.1457
_cell_angle_alpha 90.00
_cell_angle_beta 90.00
_cell_angle_gamma 120.00
loop_
_atom_site_label
_atom_site_type_symbol
_atom_site_fract_x
_atom_site_fract_y
_atom_site_fract_z
_atom_site_occupancy
Zn1 Zn 0.0000 0.0000 0.0000 1
In1 In 0.0000 0.0000 0.5000 1
F1 F 0.0000 0.0000 0.3801 1
```

Summary:
Formation energy without anion corrections   -1.56 eV/atom
Offset from the most stable computed form   0.000 eV per atom
Total moment   0.000 μB per atom
N(E_F)   1.983 states/eV per cell

- What is the formula in the first record?
  NaMg14Sb

- N(E_F) of number 4 (ZnInF2)?
  1.983 states/eV per cell

Please write out number 3 again, unchanged.
This record from Alexandria describes KScAs after structural relaxation. The functional is PBE-GGA.

Structure (CIF):
```
data_KScAs
_space_group_name_H-M_alt 'P 3 m 1'
_space_group_IT_number 156
_cell_length_a 4.5611
_cell_length_b 4.5611
_cell_length_c 5.6497
_cell_angle_alpha 90.00
_cell_angle_beta 90.00
_cell_angle_gamma 120.00
loop_
_space_group_symop_operation_xyz
'x,y,z'
'-y,x-y,z'
'-x+y,-x,z'
'-y,-x,z'
'-x+y,y,z'
'x,x-y,z'
loop_
_atom_site_label
_atom_site_type_symbol
_atom_site_fract_x
_atom_site_fract_y
_atom_site_fract_z
_atom_site_occupancy
K1 K 0.0000 0.0000 0.0000 1
Sc1 Sc 0.6667 0.3333 0.5002 1
As1 As 0.3333 0.6667 0.5022 1
```

Summary:
Total moment   0.291 μB per atom
Energy of formation from the pure elements   -0.4888 eV per atom
N(E_F)   1.710 states/eV per cell

- total moment of number 1 (NaMg14Sb)?
  0.000 μB per atom